i | VASP calculation (PBE-GGA) on a relaxed structure of LiReRu.

Cell: 4.8946 4.8946 4.8946 Å, 144.26 144.26 51.44°
Sites, in units of the cell vectors:
Li1 0.0000 0.0000 0.0000
Re1 0.3257 0.3257 0.0000
Ru1 0.6635 0.6635 0.0000

Its space-group type is I4mm (107). The value obtained for the total moment is 0.00 Bohr magnetons per cell.

***

ii | VASP calculation (PBE-GGA) on a relaxed structure of LiReRu.

Cell: 7.1938 6.9860 2.6568 Å, 83.64 74.82 21.53°
Sites, in units of the cell vectors:
Li1 0.0000 0.0000 0.0000
Re1 0.6740 0.6740 0.3260
Ru1 0.3321 0.3321 0.6679

Its space-group type is Fmm2 (42). The value obtained for the total moment is 0.01 Bohr magnetons per cell.

***

iii | VASP calculation (PBE-GGA) on a relaxed structure of LiReRu.

Cell: 4.0756 4.0756 4.0756 Å, 60.00 60.00 60.00°
Sites, in units of the cell vectors:
Li1 0.0000 0.0000 0.0000
Re1 0.5000 0.5000 0.5000
Ru1 0.7500 0.7500 0.7500

Its space-group type is F-43m (216). The value obtained for the total moment is 0.00 Bohr magnetons per cell.

***

iv | VASP calculation (PBE-GGA) on a relaxed structure of LiReRu.

Cell: 2.7425 2.7425 6.8039 Å, 90.00 90.00 120.00°
Sites, in units of the cell vectors:
Li1 0.0000 0.0000 0.0000
Re1 0.3333 0.6667 0.3558
Ru1 0.6667 0.3333 0.6568

Its space-group type is P3m1 (156). The value obtained for the total moment is 0.00 Bohr magnetons per cell.

***

Q: What are the energies relative to the best structure? A: i 0.013; ii 0.135; iii 0.418; iv 0.000, in eV/atom.

***

i | VASP calculation (PBE-GGA) on a relaxed structure of LiReS2.

Cell: 4.2009 4.2009 4.2009 Å, 60.00 60.00 60.00°
Sites, in units of the cell vectors:
Li1 0.0000 0.0000 0.0000
Re1 0.5000 0.5000 0.5000
S1 0.2500 0.2500 0.2500
S2 0.7500 0.7500 0.7500

Its space-group type is Fm-3m (225). The value obtained for the total moment is 0.00 Bohr magnetons per cell.

***

ii | VASP calculation (PBE-GGA) on a relaxed structure of LiReS2.

Cell: 8.2341 8.2341 8.2341 Å, 20.69 20.69 20.69°
Sites, in units of the cell vectors:
Li1 0.0000 0.0000 0.0000
Re1 0.5000 0.5000 0.5000
S1 0.4069 0.4069 0.4069
S2 0.5931 0.5931 0.5931

Its space-group type is R-3m (166). The value obtained for the total moment is 0.00 Bohr magnetons per cell.

***

Q: What are the energies relative to the best structure? A: i 0.000; ii 0.293, in eV/atom.

***

i | VASP calculation (PBE-GGA) on a relaxed structure of LiReS2.

Cell: 6.6592 6.6592 6.6592 Å, 131.64 131.64 70.80°
Sites, in units of the cell vectors:
Li1 0.0000 0.0000 0.0000
Li2 0.7500 0.2500 0.5000
Re1 0.2500 0.7500 0.5000
Re2 0.5000 0.5000 0.0000
S1 0.1583 0.6250 0.0333
S2 0.3750 0.4083 0.5333
S3 0.5917 0.1250 0.9667
S4 0.8750 0.8417 0.4667

Its space-group type is I-42d (122). The value obtained for the total moment is 0.00 Bohr magnetons per cell.

***

ii | VASP calculation (PBE-GGA) on a relaxed structure of LiReS2.

Cell: 7.9710 7.9710 7.9710 Å, 23.49 23.49 23.49°
Sites, in units of the cell vectors:
Li1 0.0000 0.0000 0.0000
Re1 0.5000 0.5000 0.5000
S1 0.0999 0.0999 0.0999
S2 0.9001 0.9001 0.9001

Its space-group type is R-3m (166). The value obtained for the total moment is 0.00 Bohr magnetons per cell.

***

Q: What are the energies relative to the best structure? A: i 0.000; ii 0.093, in eV/atom.

***

i | VASP calculation (PBE-GGA) on a relaxed structure of LiRe3S.

Cell: 4.1834 4.1834 4.1834 Å, 90.00 90.00 90.00°
Sites, in units of the cell vectors:
Li1 0.0000 0.0000 0.0000
Re1 0.0000 0.0000 0.5000
Re2 0.0000 0.5000 0.0000
Re3 0.5000 0.0000 0.0000
S1 0.5000 0.5000 0.5000

Its space-group type is Pm-3m (221). The value obtained for the total moment is 0.00 Bohr magnetons per cell.

***

ii | VASP calculation (PBE-GGA) on a relaxed structure of LiRe3S.

Cell: 4.3565 4.3565 4.3565 Å, 90.00 90.00 90.00°
Sites, in units of the cell vectors:
Li1 0.0000 0.0000 0.0000
Re1 0.0000 0.5000 0.5000
Re2 0.5000 0.0000 0.5000
Re3 0.5000 0.5000 0.0000
S1 0.5000 0.5000 0.5000

Its space-group type is Pm-3m (221). The value obtained for the total moment is 0.00 Bohr magnetons per cell.

***

Q: What are the energies relative to the best structure? A: i 0.991; ii 0.000, in eV/atom.

***

i | VASP calculation (PBE-GGA) on a relaxed structure of Li3ReS.

Cell: 4.9465 4.9465 4.9465 Å, 90.00 90.00 90.00°
Sites, in units of the cell vectors:
Li1 0.0000 0.0000 0.5000
Li2 0.0000 0.5000 0.0000
Li3 0.5000 0.0000 0.0000
Re1 0.0000 0.0000 0.0000
S1 0.5000 0.5000 0.5000

Its space-group type is Pm-3m (221). The value obtained for the total moment is 4.00 Bohr magnetons per cell.

***

ii | VASP calculation (PBE-GGA) on a relaxed structure of Li3ReS.

Cell: 4.5403 4.5403 4.5403 Å, 90.00 90.00 90.00°
Sites, in units of the cell vectors:
Li1 0.0000 0.0000 0.5000
Li2 0.0000 0.5000 0.0000
Li3 0.5000 0.0000 0.0000
Re1 0.5000 0.5000 0.5000
S1 0.0000 0.0000 0.0000

Its space-group type is Pm-3m (221). The value obtained for the total moment is 4.00 Bohr magnetons per cell.

***

Q: What are the energies relative to the best structure? A: i 0.783; ii 0.000, in eV/atom.

***

i | VASP calculation (PBE-GGA) on a relaxed structure of LiScRe3.

Cell: 4.6422 4.6422 4.6422 Å, 90.00 90.00 90.00°
Sites, in units of the cell vectors:
Li1 0.0000 0.0000 0.0000
Sc1 0.5000 0.5000 0.5000
Re1 0.0000 0.5000 0.5000
Re2 0.5000 0.0000 0.5000
Re3 0.5000 0.5000 0.0000

Its space-group type is Pm-3m (221). The value obtained for the total moment is 0.00 Bohr magnetons per cell.

***

ii | VASP calculation (PBE-GGA) on a relaxed structure of LiScRe3.

Cell: 4.2468 4.2468 4.2468 Å, 90.00 90.00 90.00°
Sites, in units of the cell vectors:
Li1 0.0000 0.0000 0.0000
Sc1 0.5000 0.5000 0.5000
Re1 0.0000 0.0000 0.5000
Re2 0.0000 0.5000 0.0000
Re3 0.5000 0.0000 0.0000

Its space-group type is Pm-3m (221). The value obtained for the total moment is 0.00 Bohr magnetons per cell.

***

Q: What are the energies relative to the best structure? A: i 1.273; ii 0.000, in eV/atom.

***

i | VASP calculation (PBE-GGA) on a relaxed structure of Li3ReSi.

Cell: 4.7629 4.7629 4.7629 Å, 90.00 90.00 90.00°
Sites, in units of the cell vectors:
Li1 0.0000 0.0000 0.5000
Li2 0.0000 0.5000 0.0000
Li3 0.5000 0.0000 0.0000
Re1 0.0000 0.0000 0.0000
Si1 0.5000 0.5000 0.5000

Its space-group type is Pm-3m (221). The value obtained for the total moment is 2.58 Bohr magnetons per cell.

***

ii | VASP calculation (PBE-GGA) on a relaxed structure of Li3ReSi.

Cell: 4.2602 4.2602 4.2602 Å, 90.00 90.00 90.00°
Sites, in units of the cell vectors:
Li1 0.0000 0.0000 0.5000
Li2 0.0000 0.5000 0.0000
Li3 0.5000 0.0000 0.0000
Re1 0.5000 0.5000 0.5000
Si1 0.0000 0.0000 0.0000

Its space-group type is Pm-3m (221). The value obtained for the total moment is 0.00 Bohr magnetons per cell.

***

Q: What are the energies relative to the best structure? A: i 0.275; ii 0.000, in eV/atom.

***

i | VASP calculation (PBE-GGA) on a relaxed structure of LiRe3Si.

Cell: 4.4416 4.4416 4.4416 Å, 90.00 90.00 90.00°
Sites, in units of the cell vectors:
Li1 0.0000 0.0000 0.0000
Re1 0.0000 0.5000 0.5000
Re2 0.5000 0.0000 0.5000
Re3 0.5000 0.5000 0.0000
Si1 0.5000 0.5000 0.5000

Its space-group type is Pm-3m (221). The value obtained for the total moment is 0.00 Bohr magnetons per cell.

***

ii | VASP calculation (PBE-GGA) on a relaxed structure of LiRe3Si.

Cell: 4.1184 4.1184 4.1184 Å, 90.00 90.00 90.00°
Sites, in units of the cell vectors:
Li1 0.0000 0.0000 0.0000
Re1 0.0000 0.0000 0.5000
Re2 0.0000 0.5000 0.0000
Re3 0.5000 0.0000 0.0000
Si1 0.5000 0.5000 0.5000

Its space-group type is Pm-3m (221). The value obtained for the total moment is 0.00 Bohr magnetons per cell.

***

Q: What are the energies relative to the best structure? A: i 0.000; ii 0.142, in eV/atom.

***

i | VASP calculation (PBE-GGA) on a relaxed structure of LiRe3Sn.

Cell: 4.8978 4.8978 4.8978 Å, 90.00 90.00 90.00°
Sites, in units of the cell vectors:
Li1 0.0000 0.0000 0.0000
Re1 0.0000 0.5000 0.5000
Re2 0.5000 0.0000 0.5000
Re3 0.5000 0.5000 0.0000
Sn1 0.5000 0.5000 0.5000

Its space-group type is Pm-3m (221). The value obtained for the total moment is 1.98 Bohr magnetons per cell.

***

ii | VASP calculation (PBE-GGA) on a relaxed structure of LiRe3Sn.

Cell: 4.2440 4.2440 4.2440 Å, 90.00 90.00 90.00°
Sites, in units of the cell vectors:
Li1 0.0000 0.0000 0.0000
Re1 0.0000 0.0000 0.5000
Re2 0.0000 0.5000 0.0000
Re3 0.5000 0.0000 0.0000
Sn1 0.5000 0.5000 0.5000

Its space-group type is Pm-3m (221). The value obtained for the total moment is 0.00 Bohr magnetons per cell.

***

Q: What are the energies relative to the best structure? A: i 1.303; ii 0.000, in eV/atom.

***

i | VASP calculation (PBE-GGA) on a relaxed structure of SrLi2Re.

Cell: 5.4533 5.4533 5.4533 Å, 134.62 134.62 66.11°
Sites, in units of the cell vectors:
Sr1 0.0000 0.0000 0.0000
Li1 0.2500 0.7500 0.5000
Li2 0.5000 0.5000 0.0000
Re1 0.7500 0.2500 0.5000

Its space-group type is I-4m2 (119). The value obtained for the total moment is 0.98 Bohr magnetons per cell.

***

ii | VASP calculation (PBE-GGA) on a relaxed structure of SrLi2Re.

Cell: 2.7849 4.5333 6.2176 Å, 90.00 90.00 90.00°
Sites, in units of the cell vectors:
Sr1 0.0000 0.0000 0.0000
Li1 0.5000 0.5000 0.3190
Li2 0.5000 0.5000 0.6810
Re1 0.0000 0.0000 0.5000

Its space-group type is Pmmm (47). The value obtained for the total moment is 0.00 Bohr magnetons per cell.

***

iii | VASP calculation (PBE-GGA) on a relaxed structure of SrLi2Re.

Cell: 4.9815 4.9815 6.1867 Å, 95.23 95.23 32.34°
Sites, in units of the cell vectors:
Sr1 0.0000 0.0000 0.0000
Li1 0.2339 0.2339 0.6668
Li2 0.4901 0.4901 0.4553
Re1 0.7462 0.7462 0.2860

Its space-group type is Cm (8). The value obtained for the total moment is 0.00 Bohr magnetons per cell.

***

iv | VASP calculation (PBE-GGA) on a relaxed structure of SrLi2Re.

Cell: 2.8589 5.3795 5.5322 Å, 90.00 90.00 90.00°
Sites, in units of the cell vectors:
Sr1 0.0000 0.0000 0.0000
Li1 0.0000 0.5000 0.5000
Li2 0.5000 0.0000 0.5000
Re1 0.5000 0.5000 0.0000

Its space-group type is Pmmm (47). The value obtained for the total moment is 0.01 Bohr magnetons per cell.

***

Q: What are the energies relative to the best structure? A: i 0.218; ii 0.016; iii 0.000; iv 0.142, in eV/atom.

***

i | VASP calculation (PBE-GGA) on a relaxed structure of SrLi2Re.

Cell: 5.8383 5.8383 5.8383 Å, 151.76 126.28 61.79°
Sites, in units of the cell vectors:
Sr1 0.0000 0.0000 0.0000
Li1 0.2692 0.7692 0.5000
Li2 0.4912 0.4912 0.0000
Re1 0.7198 0.2198 0.5000

Its space-group type is Imm2 (44). The value obtained for the total moment is 0.00 Bohr magnetons per cell.

***

ii | VASP calculation (PBE-GGA) on a relaxed structure of SrLi2Re.

Cell: 5.0083 5.0083 2.8709 Å, 90.00 90.00 90.00°
Sites, in units of the cell vectors:
Sr1 0.0000 0.0000 0.0000
Li1 0.0000 0.5000 0.5000
Li2 0.5000 0.0000 0.5000
Re1 0.5000 0.5000 0.0000

Its space-group type is P4/mmm (123). The value obtained for the total moment is 0.00 Bohr magnetons per cell.

***

iii | VASP calculation (PBE-GGA) on a relaxed structure of SrLi2Re.

Cell: 10.8803 10.8803 10.8803 Å, 15.46 15.46 15.46°
Sites, in units of the cell vectors:
Sr1 0.0000 0.0000 0.0000
Li1 0.2358 0.2358 0.2358
Li2 0.7642 0.7642 0.7642
Re1 0.5000 0.5000 0.5000

Its space-group type is R-3m (166). The value obtained for the total moment is 0.86 Bohr magnetons per cell.

***

Q: What are the energies relative to the best structure? A: i 0.000; ii 0.097; iii 0.140, in eV/atom.

***

i | VASP calculation (PBE-GGA) on a relaxed structure of SrLi2Re.

Cell: 2.7676 4.5442 6.6494 Å, 90.00 102.00 90.00°
Sites, in units of the cell vectors:
Sr1 0.0000 0.0000 0.0000
Li1 0.6780 0.5000 0.3496
Li2 0.7699 0.0000 0.5550
Re1 0.3573 0.5000 0.7169

Its space-group type is Pm (6). The value obtained for the total moment is 0.00 Bohr magnetons per cell.

***

ii | VASP calculation (PBE-GGA) on a relaxed structure of SrLi2Re.

Cell: 2.8228 2.8228 9.8701 Å, 90.00 90.00 90.00°
Sites, in units of the cell vectors:
Sr1 0.0000 0.0000 0.0000
Li1 0.5000 0.5000 0.2998
Li2 0.5000 0.5000 0.7002
Re1 0.0000 0.0000 0.5000

Its space-group type is P4/mmm (123). The value obtained for the total moment is 0.00 Bohr magnetons per cell.

***

Q: What are the energies relative to the best structure? A: i 0.000; ii 0.112, in eV/atom.